Compound: K3Er2CoO6
Source: the Alexandria database
Functional: PBE with a Hubbard U
Structure: relaxed

- SG: C2/m (12)
- Magnetization: 3.9 Bohr magnetons per cell
- VASP energy: -6.113 eV per atom

Cell: 5.7510 5.7510 6.5085 Å, 98.67 98.67 119.32°
Closest atoms and distances in Å follow each position.
Fractional coordinates of all 12 atoms:
K 0.5000 0.5000 0.5000  6 O 2.72-2.77
K 0.1629 0.8371 0.5000  6 O 2.69-2.88
K 0.8371 0.1629 0.5000  6 O 2.69-2.88
O 0.3719 0.0617 0.1795  1 Co 2.11, 2 Er 2.29
O 0.9383 0.6281 0.8205  1 Co 2.11, 2 Er 2.29
O 0.2636 0.2636 0.8124  1 Co 2.23, 2 Er 2.26
O 0.0617 0.3719 0.1795  1 Co 2.11, 2 Er 2.29
O 0.7364 0.7364 0.1876  1 Co 2.23, 2 Er 2.26
O 0.6281 0.9383 0.8205  1 Co 2.11, 2 Er 2.29
Co 0.0000 0.0000 0.0000  6 O 2.11-2.23
Er 0.6661 0.3339 0.0000  6 O 2.26-2.29
Er 0.3339 0.6661 0.0000  6 O 2.26-2.29